Entry 1:
A relaxed structure of SnGe2Pt2. Source: the Alexandria database, functional PBE.

Output
ΔH_f (0 K), meV per atom: -185
Density of states at the Fermi level, states/eV/cell: 6.85
Crystal system: tetragonal
E, Ry per atom: -0.3858
Energy above the lowest structure with this stoichiometry, eV/atom: 0.220
Space group: No. 127
Density, g cm⁻³: 11.822

POSCAR file:
```
SnGe2Pt2
1.0
7.775 0.000 0.000
0.000 7.775 0.000
0.000 0.000 3.040
Sn Ge Pt
2 4 4
direct
0.000 0.000 0.000
0.500 0.500 0.000
0.149 0.351 0.500
0.351 0.851 0.500
0.649 0.149 0.500
0.851 0.649 0.500
0.142 0.642 0.000
0.358 0.142 0.000
0.642 0.858 0.000
0.858 0.358 0.000
```


Entry 2:
A relaxed structure of Sm7Tm3Th. Source: the Alexandria database, functional PBE.

Output
ΔH_f (0 K), meV per atom: 298
Density of states at the Fermi level, states/eV/cell: 36.17
Crystal system: orthorhombic
E, Ry per atom: -0.3381
Energy above the lowest structure with this stoichiometry, eV/atom: 0.102
Space group: No. 63
Density, g cm⁻³: 7.900

POSCAR file:
```
Sm7Tm3Th
1.0
8.528 -5.417 0.000
8.528 5.417 0.000
0.000 0.000 8.151
Sm Tm Th
14 6 2
direct
0.101 0.611 0.057
0.101 0.611 0.443
0.247 0.753 0.750
0.290 0.379 0.750
0.379 0.290 0.250
0.389 0.899 0.057
0.389 0.899 0.443
0.611 0.101 0.557
0.611 0.101 0.943
0.621 0.710 0.750
0.710 0.621 0.250
0.753 0.247 0.250
0.899 0.389 0.557
0.899 0.389 0.943
0.113 0.211 0.250
0.211 0.113 0.750
0.500 0.500 0.000
0.500 0.500 0.500
0.789 0.887 0.250
0.887 0.789 0.750
0.000 0.000 0.000
0.000 0.000 0.500
```


Entry 3:
A relaxed structure of MgPdS. Source: the Alexandria database, functional PBE.

Output
Formation energy without anion corrections, eV/atom: -0.683
Density of states at the Fermi level, states/eV/cell: 0.28
Crystal system: triclinic
E, Ry per atom: -0.3176
Space group: No. 1
Density, g cm⁻³: 5.131

POSCAR file:
```
MgPdS
1.0
3.552 0.000 0.000
0.410 4.529 0.000
0.160 1.379 6.550
Mg Pd S
2 2 2
direct
0.000 0.000 0.000
0.019 0.765 0.538
0.518 0.235 0.684
0.600 0.537 0.268
0.461 0.048 0.272
0.530 0.691 0.830
```


Entry 4:
A relaxed structure of Re2SbSe. Source: the Alexandria database, functional PBE.

Output
Formation energy without anion corrections, eV/atom: 0.597
Density of states at the Fermi level, states/eV/cell: 3.57
Crystal system: monoclinic
E, Ry per atom: -0.5534
Energy above the lowest structure with this stoichiometry, eV/atom: 0.413
Space group: No. 12
Density, g cm⁻³: 13.759

POSCAR file:
```
Re2SbSe
1.0
4.151 -1.537 0.000
4.151 1.537 0.000
-1.229 0.000 5.422
Re Sb Se
2 1 1
direct
0.249 0.249 0.289
0.751 0.751 0.711
0.500 0.500 0.000
0.000 0.000 0.500
```


Entry 5:
A relaxed structure of GdSc2Hg. Source: the Alexandria database, functional PBE.

Output
ΔH_f (0 K), meV per atom: -177
Density of states at the Fermi level, states/eV/cell: 5.81
Crystal system: tetragonal
E, Ry per atom: -0.5100
Energy above the lowest structure with this stoichiometry, eV/atom: 0.001
Space group: No. 123
Density, g cm⁻³: 7.410

POSCAR file:
```
GdSc2Hg
1.0
3.415 0.000 0.000
0.000 3.415 0.000
0.000 0.000 8.606
Gd Sc Hg
1 2 1
direct
0.000 0.000 0.000
0.500 0.500 0.283
0.500 0.500 0.717
0.000 0.000 0.500
```


Entry 6:
A relaxed structure of Hf2USb. Source: the Alexandria database, functional PBE.

Output
Formation energy without anion corrections, eV/atom: -0.088
Density of states at the Fermi level, states/eV/cell: 7.37
Crystal system: tetragonal
E, Ry per atom: -0.6554
Energy above the lowest structure with this stoichiometry, eV/atom: 0.000
Space group: No. 123
Density, g cm⁻³: 13.414

POSCAR file:
```
Hf2USb
1.0
4.621 0.000 0.000
0.000 4.621 0.000
0.000 0.000 4.156
Hf U Sb
2 1 1
direct
0.000 0.500 0.000
0.500 0.000 0.000
0.000 0.000 0.500
0.500 0.500 0.500
```


Entry 7:
A relaxed structure of AcZn2CuPd5. Source: the Alexandria database, functional PBE.

Output
ΔH_f (0 K), meV per atom: -306
Density of states at the Fermi level, states/eV/cell: 2.50
Crystal system: tetragonal
E, Ry per atom: -0.3223
Space group: No. 123
Density, g cm⁻³: 9.537

POSCAR file:
```
AcZn2CuPd5
1.0
4.771 0.000 0.000
0.000 4.771 0.000
0.000 0.000 7.293
Ac Zn Cu Pd
1 2 1 5
direct
0.000 0.000 0.000
0.500 0.500 0.340
0.500 0.500 0.660
0.000 0.000 0.500
0.000 0.500 0.289
0.000 0.500 0.711
0.500 0.000 0.289
0.500 0.000 0.711
0.500 0.500 0.000
```


Entry 8:
A relaxed structure of ZnPbAu5. Source: the Alexandria database, functional PBE.

Output
ΔH_f (0 K), meV per atom: -39
Density of states at the Fermi level, states/eV/cell: 2.96
Crystal system: tetragonal
E, Ry per atom: -0.2272
Space group: No. 123
Density, g cm⁻³: 14.439

POSCAR file:
```
ZnPbAu5
1.0
3.970 0.000 0.000
0.000 3.970 0.000
0.000 0.000 9.176
Zn Pb Au
1 1 5
direct
0.000 0.000 0.000
0.500 0.500 0.500
0.000 0.500 0.237
0.000 0.500 0.763
0.500 0.000 0.237
0.500 0.000 0.763
0.500 0.500 0.000
```


Entry 9:
A relaxed structure of HgSbOs. Source: the Alexandria database, functional PBE.

Output
Formation energy without anion corrections, eV/atom: 0.730
Density of states at the Fermi level, states/eV/cell: 3.07
Crystal system: orthorhombic
E, Ry per atom: -0.3299
Energy above the lowest structure with this stoichiometry, eV/atom: 0.228
Space group: No. 42
Density, g cm⁻³: 12.803

POSCAR file:
```
HgSbOs
1.0
0.000 2.632 8.052
1.568 0.000 8.052
1.568 2.632 0.000
Hg Sb Os
1 1 1
direct
0.000 0.000 0.000
0.720 0.720 0.280
0.351 0.351 0.649
```


Entry 10:
A relaxed structure of SeBr6O2. Source: the Alexandria database, functional PBE.

Output
Formation energy without anion corrections, eV/atom: 0.774
Density of states at the Fermi level, states/eV/cell: 11.53
Crystal system: cubic
E, Ry per atom: -0.1345
Space group: No. 225
Density, g cm⁻³: 3.833

POSCAR file:
```
SeBr6O2
1.0
0.000 5.038 5.038
5.038 0.000 5.038
5.038 5.038 0.000
Se Br O
1 6 2
direct
0.000 0.000 0.000
0.254 0.254 0.746
0.254 0.746 0.254
0.254 0.746 0.746
0.746 0.254 0.254
0.746 0.254 0.746
0.746 0.746 0.254
0.250 0.250 0.250
0.750 0.750 0.750
```


Entry 11:
A relaxed structure of Na3LaHg. Source: the Alexandria database, functional PBE.

Output
ΔH_f (0 K), meV per atom: 912
Density of states at the Fermi level, states/eV/cell: 3.83
Crystal system: cubic
E, Ry per atom: -0.0680
Energy above the lowest structure with this stoichiometry, eV/atom: 0.645
Space group: No. 221
Density, g cm⁻³: 2.542

POSCAR file:
```
Na3LaHg
1.0
6.438 0.000 0.000
0.000 6.438 0.000
0.000 0.000 6.438
Na La Hg
3 1 1
direct
0.000 0.000 0.500
0.000 0.500 0.000
0.500 0.000 0.000
0.000 0.000 0.000
0.500 0.500 0.500
```


Entry 12:
A relaxed structure of KInAgTe3. Source: the Alexandria database, functional PBE.

Output
Formation energy without anion corrections, eV/atom: -0.352
Density of states at the Fermi level, states/eV/cell: 8.72
Crystal system: monoclinic
E, Ry per atom: -0.2233
Space group: No. 11
Density, g cm⁻³: 5.077

POSCAR file:
```
KInAgTe3
1.0
8.993 0.000 0.000
0.000 4.332 0.000
-3.406 0.000 10.823
K In Ag Te
2 2 2 6
direct
0.231 0.250 0.235
0.769 0.750 0.765
0.153 0.250 0.645
0.847 0.750 0.355
0.334 0.750 0.906
0.666 0.250 0.094
0.111 0.250 0.887
0.200 0.750 0.495
0.487 0.250 0.820
0.513 0.750 0.180
0.800 0.250 0.505
0.889 0.750 0.113
```